A relaxed structure of K2Ag17, computed with PBE-GGA.

The space group is R-3m (No. 166, hexagonal axes) and the conventional cell measures 9.8388, 9.8388 and 14.2433 Å, with angles of 90.00, 90.00 and 120.00 degrees. Symmetry generates all atoms from K at (0.0000, 0.0000, 0.1556), Ag at (0.0000, 0.0000, 0.4019), Ag at (0.0000, 0.2962, 0.5000), Ag at (0.0000, 0.5000, 0.0000) and Ag at (0.0041, 0.5021, 0.3465).

The electronic total energy is -149.9 eV per cell.



A relaxed structure of LiPCl2, computed with PBE-GGA.

The space group is R3m (No. 160, hexagonal axes) and the conventional cell measures 3.5150, 3.5150 and 24.3903 Å, with angles of 90.00, 90.00 and 120.00 degrees. Symmetry generates all atoms from Li at (0.0000, 0.0000, 0.0000), P at (0.0000, 0.0000, 0.7651), Cl at (0.0000, 0.0000, 0.2974) and Cl at (0.0000, 0.0000, 0.4955).

The electronic total energy is -36.5 eV per cell.



A relaxed structure of CaLaSc4, computed with PBE-GGA.

The space group is F-43m (No. 216) and the conventional cell measures 9.039, 9.039 and 9.039 Å, with angles of 90.00, 90.00 and 90.00 degrees. Symmetry generates all atoms from Ca at (0.000, 0.000, 0.000), La at (0.250, 0.250, 0.750) and Sc at (0.124, 0.124, 0.376).

The electronic total energy is -123.3 eV per cell.



A relaxed structure of SmDyCuNi, computed with PBE-GGA.

The space group is Amm2 (No. 38) and the conventional cell measures 4.424, 3.753 and 10.322 Å, with angles of 90.00, 90.00 and 90.00 degrees. Symmetry generates all atoms from Sm at (0.000, 0.000, 0.000), Dy at (0.500, 0.000, 0.278), Cu at (0.500, 0.000, 0.571) and Ni at (0.000, 0.000, 0.712).

The electronic total energy is -40.9 eV per cell.



A relaxed structure of Dy2HoCd, computed with PBE-GGA.

The space group is P4/mmm (No. 123) and the conventional cell measures 3.572, 3.572 and 9.042 Å, with angles of 90.00, 90.00 and 90.00 degrees. Symmetry generates all atoms from Dy at (0.000, 0.000, 0.229), Ho at (0.500, 0.500, 0.500) and Cd at (0.500, 0.500, 0.000).

The electronic total energy is -15.3 eV per cell.



A relaxed structure of Tl2Te5As2, computed with PBE-GGA.

The space group is Ima2 (No. 46) and the conventional cell measures 18.430, 7.818 and 8.815 Å, with angles of 90.00, 90.00 and 90.00 degrees. Symmetry generates all atoms from Tl at (0.122, 0.024, 0.000), Te at (0.036, 0.174, 0.662), Te at (0.144, 0.661, 0.840), Te at (0.250, 0.221, 0.831), As at (0.000, 0.000, 0.413) and As at (0.250, 0.504, 0.994).

The electronic total energy is -119.4 eV per cell.



A relaxed structure of Na2YSc, computed with PBE-GGA.

The space group is I-42d (No. 122) and the conventional cell measures 8.846, 8.846 and 6.288 Å, with angles of 90.00, 90.00 and 90.00 degrees. Symmetry generates all atoms from Na at (0.239, 0.250, 0.125), Y at (0.000, 0.000, 0.500) and Sc at (0.000, 0.000, 0.000).

The electronic total energy is -51.5 eV per cell.



A relaxed structure of La3Sm12Er, computed with PBE-GGA.

The space group is P4/mmm (No. 123) and the conventional cell measures 5.153, 5.153 and 20.614 Å, with angles of 90.00, 90.00 and 90.00 degrees. Symmetry generates all atoms from La at (0.000, 0.000, 0.000), La at (0.000, 0.000, 0.251), Sm at (0.000, 0.500, 0.126), Sm at (0.000, 0.500, 0.378), Sm at (0.500, 0.500, 0.000), Sm at (0.500, 0.500, 0.253), Sm at (0.500, 0.500, 0.500) and Er at (0.000, 0.000, 0.500).

The electronic total energy is -75.7 eV per cell.



A relaxed structure of Cs3Ag2Br6, computed with PBE-GGA.

The space group is I4/mmm (No. 139) and the conventional cell measures 5.355, 5.355 and 30.023 Å, with angles of 90.00, 90.00 and 90.00 degrees. Symmetry generates all atoms from Cs at (0.000, 0.000, 0.000), Cs at (0.000, 0.000, 0.182), Ag at (0.000, 0.000, 0.397), Br at (0.000, 0.000, 0.304) and Br at (0.000, 0.500, 0.085).

The electronic total energy is -61.7 eV per cell.



A relaxed structure of Ac2Ce3SmSb6, computed with PBE-GGA.

The space group is C2/m (No. 12) and the conventional cell measures 7.968, 13.800 and 7.974 Å, with angles of 90.00, 109.50 and 90.00 degrees. Symmetry generates all atoms from Ac at (0.000, 0.166, 0.000), Ce at (0.000, 0.000, 0.500), Ce at (0.000, 0.330, 0.500), Sm at (0.000, 0.500, 0.000), Sb at (0.235, 0.500, 0.736) and Sb at (0.248, 0.338, 0.261).

The electronic total energy is -137.5 eV per cell.



A relaxed structure of BaAl2Hg, computed with PBE-GGA.

The space group is P4/mmm (No. 123) and the conventional cell measures 3.773, 3.773 and 7.642 Å, with angles of 90.00, 90.00 and 90.00 degrees. Symmetry generates all atoms from Ba at (0.000, 0.000, 0.000), Al at (0.500, 0.500, 0.322) and Hg at (0.000, 0.000, 0.500).

The electronic total energy is -9.8 eV per cell.



A relaxed structure of La5Tb2Ge4, computed with PBE-GGA.

The space group is C2/m (No. 12) and the conventional cell measures 22.992, 3.835 and 7.776 Å, with angles of 90.00, 98.25 and 90.00 degrees. Symmetry generates all atoms from La at (0.000, 0.000, 0.000), La at (0.111, 0.500, 0.388), La at (0.155, 0.500, 0.977), Tb at (0.223, 0.000, 0.659), Ge at (0.024, 0.500, 0.684) and Ge at (0.097, 0.000, 0.696).

The electronic total energy is -111.2 eV per cell.



A relaxed structure of K2SiSn, computed with PBE-GGA.

The space group is I-42d (No. 122) and the conventional cell measures 13.019, 13.019 and 5.183 Å, with angles of 90.00, 90.00 and 90.00 degrees. Symmetry generates all atoms from K at (0.017, 0.250, 0.125), Si at (0.000, 0.000, 0.000) and Sn at (0.000, 0.000, 0.500).

The electronic total energy is -43.7 eV per cell.



A relaxed structure of PrPuZnBi, computed with PBE-GGA.

The space group is F-43m (No. 216) and the conventional cell measures 7.654, 7.654 and 7.654 Å, with angles of 90.00, 90.00 and 90.00 degrees. Symmetry generates all atoms from Pr at (0.000, 0.000, 0.000), Pu at (0.000, 0.000, 0.500), Zn at (0.250, 0.250, 0.750) and Bi at (0.250, 0.250, 0.250).

The electronic total energy is -101.6 eV per cell.



A relaxed structure of SnIrS2Cl, computed with PBE-GGA.

The space group is P4/mmm (No. 123) and the conventional cell measures 4.741, 4.741 and 4.750 Å, with angles of 90.00, 90.00 and 90.00 degrees. Symmetry generates all atoms from Sn at (0.000, 0.000, 0.000), Ir at (0.500, 0.500, 0.500), S at (0.000, 0.500, 0.500) and Cl at (0.500, 0.500, 0.000).

The electronic total energy is -22.5 eV per cell.



A relaxed structure of Sc4Si2H, computed with PBE-GGA.

The space group is P2_1/m (No. 11) and the conventional cell measures 5.563, 5.911 and 7.981 Å, with angles of 90.00, 110.13 and 90.00 degrees. Symmetry generates all atoms from Sc at (0.186, 0.250, 0.079), Sc at (0.249, 0.501, 0.726), Sc at (0.299, 0.750, 0.372), Si at (0.200, 0.250, 0.423), Si at (0.347, 0.750, 0.039) and H at (0.066, 0.250, 0.806).

The electronic total energy is -88.0 eV per cell.



A relaxed structure of Tm7Mg2Fe2, computed with PBE-GGA.

The space group is Imm2 (No. 44) and the conventional cell measures 3.397, 15.514 and 10.638 Å, with angles of 90.00, 90.00 and 90.00 degrees. Symmetry generates all atoms from Tm at (0.000, 0.000, 0.000), Tm at (0.000, 0.182, 0.517), Tm at (0.000, 0.341, 0.316), Tm at (0.000, 0.357, 0.706), Mg at (0.000, 0.000, 0.685), Mg at (0.000, 0.500, 0.939) and Fe at (0.000, 0.179, 0.015).

The electronic total energy is -102.2 eV per cell.



A relaxed structure of Tl2TePbN, computed with PBE-GGA.

The space group is P4/mmm (No. 123) and the conventional cell measures 6.356, 6.356 and 4.154 Å, with angles of 90.00, 90.00 and 90.00 degrees. Symmetry generates all atoms from Tl at (0.000, 0.500, 0.000), Te at (0.000, 0.000, 0.500), Pb at (0.500, 0.500, 0.000) and N at (0.500, 0.500, 0.500).

The electronic total energy is -16.4 eV per cell.



A relaxed structure of HoSc2Sb, computed with PBE-GGA.

The space group is R-3m (No. 166, hexagonal axes) and the conventional cell measures 3.5245, 3.5245 and 31.5906 Å, with angles of 90.00, 90.00 and 120.00 degrees. Symmetry generates all atoms from Ho at (0.0000, 0.0000, 0.0000), Sc at (0.0000, 0.0000, 0.1009) and Sb at (0.0000, 0.0000, 0.5000).

The electronic total energy is -63.6 eV per cell.



A relaxed structure of Li2TiCdPt, computed with PBE-GGA.

The space group is P4/mmm (No. 123) and the conventional cell measures 4.383, 4.383 and 5.085 Å, with angles of 90.00, 90.00 and 90.00 degrees. Symmetry generates all atoms from Li at (0.000, 0.500, 0.000), Ti at (0.000, 0.000, 0.500), Cd at (0.500, 0.500, 0.000) and Pt at (0.500, 0.500, 0.500).

The electronic total energy is -16.0 eV per cell.